La2MnVMo: optimized geometry, PBE.

```
La2MnVMo
1.0
-4.385 1.922 2.783
-1.686 -4.247 0.277
2.698 -0.760 4.776
Mn La V Mo
1 2 1 1
Cartesian
-0.843 -2.124 0.138
1.349 -0.380 2.388
-2.193 0.961 1.391
-1.687 -1.542 3.918
0.000 0.000 0.000
```

Values from the calculation:
Crystal system ... tetragonal
DOS at the Fermi energy ... 4.94 states/eV/f.u.
DFT total energy ... -6.89 eV per atom
Energy relative to the elements ... 435 kJ/mol of formula units